*P*
{"formula": "Li2Cr3SnO8", "functional": "PBE with a Hubbard U", "state": "optimized geometry", "lattice": [[2.9813, -5.1638, 0.0000], [2.9813, 5.1638, 0.0000], [0.0000, 0.0000, 9.6932]], "species": ["Sn", "Sn", "Cr", "Cr", "Cr", "Cr", "Cr", "Cr", "Li", "Li", "Li", "Li", "O", "O", "O", "O", "O", "O", "O", "O", "O", "O", "O", "O", "O", "O", "O", "O"], "frac_coords": [[0.6667, 0.3333, 0.9940], [0.3333, 0.6667, 0.4940], [0.1709, 0.3419, 0.2159], [0.3419, 0.1709, 0.7159], [0.6581, 0.8291, 0.2159], [0.1709, 0.8291, 0.2159], [0.8291, 0.6581, 0.7159], [0.8291, 0.1709, 0.7159], [0.0000, 0.0000, 0.4935], [0.0000, 0.0000, 0.9935], [0.3333, 0.6667, 0.8956], [0.6667, 0.3333, 0.3956], [0.5171, 0.4829, 0.8380], [0.1596, 0.8404, 0.6002], [0.0000, 0.0000, 0.8018], [0.0000, 0.0000, 0.3018], [0.4829, 0.9659, 0.3380], [0.3333, 0.6667, 0.1070], [0.9659, 0.4829, 0.8380], [0.8404, 0.1596, 0.1002], [0.4829, 0.5171, 0.3380], [0.0341, 0.5171, 0.3380], [0.8404, 0.6808, 0.1002], [0.6667, 0.3333, 0.6070], [0.5171, 0.0341, 0.8380], [0.1596, 0.3192, 0.6002], [0.6808, 0.8404, 0.6002], [0.3192, 0.1596, 0.1002]], "magmom_total_mub_per_fu": 8.00}

***

*Q*
{"formula": "Li2Cr3SnO8", "functional": "PBE with a Hubbard U", "state": "optimized geometry", "lattice": [[-3.7576, 0.9609, 4.5073], [-5.8137, 0.4806, -1.1528], [-3.6419, -4.3843, 1.6950]], "species": ["O", "O", "O", "O", "O", "O", "O", "O", "Cr", "Cr", "Cr", "Li", "Li", "Sn"], "frac_coords": [[0.7116, 0.2604, 0.2604], [0.2550, 0.2550, 0.2550], [0.7381, 0.7381, 0.7381], [0.7542, 0.7542, 0.2830], [0.2830, 0.7542, 0.7542], [0.2604, 0.7116, 0.2604], [0.7542, 0.2830, 0.7542], [0.2604, 0.2604, 0.7116], [0.5028, 0.5028, 0.9834], [0.5028, 0.9834, 0.5028], [0.9834, 0.5028, 0.5028], [0.8769, 0.8769, 0.8769], [0.5036, 0.5036, 0.5036], [0.1134, 0.1134, 0.1134]], "magmom_total_mub_per_fu": 8.00}

***

*R*
{"formula": "Li2Cr3SnO8", "functional": "PBE with a Hubbard U", "state": "optimized geometry", "lattice": [[6.1008, 0.0276, 0.0194], [3.1987, 5.2218, -0.0133], [3.1987, 1.7747, 4.9110]], "species": ["O", "O", "O", "O", "O", "O", "O", "O", "Cr", "Cr", "Cr", "Li", "Li", "Sn"], "frac_coords": [[0.2482, 0.2624, 0.7164], [0.7518, 0.7376, 0.2836], [0.7496, 0.7271, 0.7271], [0.2482, 0.7164, 0.2624], [0.2504, 0.2729, 0.2729], [0.7139, 0.2581, 0.2581], [0.7518, 0.2836, 0.7376], [0.2861, 0.7419, 0.7419], [0.5000, 0.0000, 0.5000], [0.5000, 0.5000, 0.0000], [0.0000, 0.5000, 0.5000], [0.1158, 0.1263, 0.1263], [0.8842, 0.8737, 0.8737], [0.5000, 0.5000, 0.5000]], "magmom_total_mub_per_fu": 8.00}

***

What are the relative energies? In eV/atom: *P* 0.000; *Q* 0.059; *R* 0.010.